No. 1
Density functional theory data (PBE) for an optimized crystal structure of KCo3Te.

Formation energy from raw total energies = 2.16 eV/atom
Uncorrected energy = -14.8 eV per formula unit
Offset from the most stable computed form = 1257 meV per atom

abc: 4.6050 4.6050 4.6050
angles: 90.00 90.00 90.00
Element x y z (fractional)
1 K 0.0000 0.0000 0.0000
2 Co 0.0000 0.0000 0.5000
3 Co 0.0000 0.5000 0.0000
4 Co 0.5000 0.0000 0.0000
5 Te 0.5000 0.5000 0.5000


No. 2
Density functional theory data (PBE) for an optimized crystal structure of BaMgSb4.

Formation energy from raw total energies = -0.21 eV/atom
Uncorrected energy = -21.2 eV per formula unit

abc: 6.4419 6.4419 6.4419
angles: 60.00 60.00 60.00
Element x y z (fractional)
1 Ba 0.0000 0.0000 0.0000
2 Mg 0.7500 0.7500 0.7500
3 Sb 0.3776 0.3776 0.3776
4 Sb 0.3776 0.3776 0.8673
5 Sb 0.3776 0.8673 0.3776
6 Sb 0.8673 0.3776 0.3776


No. 3
Density functional theory data (PBE) for an optimized crystal structure of BeGe3N.

Formation energy from raw total energies = 0.93 eV/atom
Uncorrected energy = -21.3 eV per formula unit
Offset from the most stable computed form = 0 meV per atom

abc: 4.2950 4.2950 4.2950
angles: 90.00 90.00 90.00
Element x y z (fractional)
1 Be 0.0000 0.0000 0.0000
2 Ge 0.0000 0.5000 0.5000
3 Ge 0.5000 0.0000 0.5000
4 Ge 0.5000 0.5000 0.0000
5 N 0.5000 0.5000 0.5000


No. 4
Density functional theory data (PBE) for an optimized crystal structure of ReIrBr2.

Formation energy from raw total energies = 1.13 eV/atom
Uncorrected energy = -20.1 eV per formula unit
Offset from the most stable computed form = 878 meV per atom

abc: 9.0804 9.0804 9.0804
angles: 19.44 19.44 19.44
Element x y z (fractional)
1 Re 0.0000 0.0000 0.0000
2 Ir 0.5000 0.5000 0.5000
3 Br 0.4079 0.4079 0.4079
4 Br 0.5921 0.5921 0.5921


No. 5
Density functional theory data (PBE) for an optimized crystal structure of Ba2Sb2Se5.

Formation energy from raw total energies = -1.00 eV/atom
Uncorrected energy = -38.5 eV per formula unit
Offset from the most stable computed form = 17 meV per atom

abc: 12.5686 12.5686 7.3794
angles: 105.58 105.58 36.87
Element x y z (fractional)
1 Ba 0.2085 0.7915 0.5000
2 Ba 0.4779 0.9007 0.6854
3 Ba 0.7915 0.2085 0.0000
4 Ba 0.9007 0.4779 0.1854
5 Sb 0.0057 0.7008 0.9495
6 Sb 0.3637 0.8517 0.1064
7 Sb 0.7008 0.0057 0.4495
8 Sb 0.8517 0.3637 0.6064
9 Se 0.0103 0.6813 0.3242
10 Se 0.1034 0.1053 0.3569
11 Se 0.1053 0.1034 0.8569
12 Se 0.1648 0.7595 0.9995
13 Se 0.5214 0.9209 0.2111
14 Se 0.5739 0.5848 0.8298
15 Se 0.5848 0.5739 0.3298
16 Se 0.6813 0.0103 0.8242
17 Se 0.7595 0.1648 0.4995
18 Se 0.9209 0.5214 0.7111


No. 6
Density functional theory data (PBE) for an optimized crystal structure of CsTa2GeN.

Formation energy from raw total energies = 0.95 eV/atom
Uncorrected energy = -32.8 eV per formula unit

abc: 4.2829 4.2829 5.8498
angles: 90.00 90.00 90.00
Element x y z (fractional)
1 Cs 0.0000 0.0000 0.0000
2 Ta 0.0000 0.5000 0.5000
3 Ta 0.5000 0.0000 0.5000
4 Ge 0.5000 0.5000 0.0000
5 N 0.5000 0.5000 0.5000


No. 7
Density functional theory data (PBE) for an optimized crystal structure of LiSmLuRh.

Formation energy from the elements = -472 meV per atom
Uncorrected energy = -20.4 eV per formula unit

abc: 4.9353 4.9353 4.9353
angles: 60.00 60.00 60.00
Element x y z (fractional)
1 Li 0.0000 0.0000 0.0000
2 Sm 0.7500 0.7500 0.7500
3 Lu 0.2500 0.2500 0.2500
4 Rh 0.5000 0.5000 0.5000


No. 8
Density functional theory data (PBE) for an optimized crystal structure of PmTm2Rh9.

Formation energy from the elements = -576 meV per atom
Uncorrected energy = -86.8 eV per formula unit

abc: 9.2458 9.2458 9.2458
angles: 33.08 33.08 33.08
Element x y z (fractional)
1 Pm 0.0000 0.0000 0.0000
2 Tm 0.1396 0.1396 0.1396
3 Tm 0.8604 0.8604 0.8604
4 Rh 0.0825 0.5841 0.5841
5 Rh 0.3332 0.3332 0.3332
6 Rh 0.4159 0.4159 0.9175
7 Rh 0.4159 0.9175 0.4159
8 Rh 0.5000 0.5000 0.5000
9 Rh 0.5841 0.0825 0.5841
10 Rh 0.5841 0.5841 0.0825
11 Rh 0.6668 0.6668 0.6668
12 Rh 0.9175 0.4159 0.4159